This record from the Alexandria database describes an optimized crystal structure of CdP2CCl. The functional is PBEsol.

Output
ρ: 4.00 g/cm3
Magnetization: 0.00 μB/cell
Formation energy from raw total energies: 843 meV per atom

a = 3.7906 Å, b = 3.7906 Å, c = 6.4169 Å
α = 90.00°, β = 90.00°, γ = 90.00°
Fractional positions:
1 Cd 0.0000 0.0000 0.0000
2 P 0.0000 0.5000 0.5000
3 P 0.5000 0.0000 0.5000
4 C 0.5000 0.5000 0.5000
5 Cl 0.5000 0.5000 0.0000

This record from the Alexandria database describes an optimized crystal structure of CdCSCl2. The functional is PBEsol.

Output
ρ: 2.97 g/cm3
Magnetization: 0.15 μB/cell
Formation energy from raw total energies: 1470 meV per atom

a = 4.9889 Å, b = 4.9889 Å, c = 5.1141 Å
α = 90.00°, β = 90.00°, γ = 90.00°
Fractional positions:
1 Cd 0.0000 0.0000 0.0000
2 C 0.5000 0.5000 0.5000
3 S 0.0000 0.0000 0.5000
4 Cl 0.0000 0.5000 0.0000
5 Cl 0.5000 0.0000 0.0000